Compound: NbCrCo
Source: Alexandria via LeMat-Bulk
Functional: PBE
Structure: relaxed

Values from the calculation:
**Relative energy among the computed polymorphs**: 0.00 kJ per mole of atoms
**Crystal system**: orthorhombic
**Space group**: No. 74
**Energy of formation from the pure elements**: -111.6 meV per atom

Cell: 4.843 4.843 4.843 Å, 89.65 121.78 118.65°
Positions (direct):
Co (0.000, 0.500, 0.500)
Co (0.500, 0.000, 0.500)
Cr (0.000, 0.500, 0.000)
Cr (0.500, 0.500, 0.500)
Nb (0.750, 0.872, 0.122)
Nb (0.250, 0.128, 0.878)